(1)
{
  "formula": "Ac2TbDyHo",
  "functional": "PBE-GGA",
  "state": "relaxed",
  "lattice_angstrom": [[6.689, 0.000, 0.000], [0.000, 8.850, 1.628], [0.000, -1.151, 6.260]],
  "species": ["Ac", "Ac", "Ac", "Ac", "Tb", "Tb", "Dy", "Dy", "Ho", "Ho"],
  "fractional_positions": [[0.708, 0.703, 0.750], [0.708, 0.297, 0.750], [0.292, 0.703, 0.250], [0.292, 0.297, 0.250], [0.583, 0.000, 0.250], [0.417, 0.000, 0.750], [0.179, 0.500, 0.750], [0.821, 0.500, 0.250], [0.000, 0.000, 0.000], [0.000, 0.000, 0.500]],
  "vol_a3_per_cell": 383.1,
  "formation_energy_ev_per_fu": 1.44,
  "dos_ef_per_ev_cell": 12.48
}

(2)
{
  "formula": "PuBeCuAu6",
  "functional": "PBE-GGA",
  "state": "relaxed",
  "lattice_angstrom": [[6.881, 0.000, 0.000], [0.000, 8.846, 0.000], [-3.441, -4.423, 5.553]],
  "species": ["Pu", "Pu", "Be", "Be", "Cu", "Cu", "Au", "Au", "Au", "Au", "Au", "Au", "Au", "Au", "Au", "Au", "Au", "Au"],
  "fractional_positions": [[0.716, 0.466, 0.431], [0.284, 0.534, 0.569], [0.500, 0.500, 0.000], [0.500, 0.000, 0.000], [0.500, 0.000, 0.500], [0.000, 0.000, 0.500], [0.570, 0.820, 0.141], [0.001, 0.251, 0.002], [0.912, 0.126, 0.251], [0.339, 0.625, 0.251], [0.339, 0.126, 0.251], [0.912, 0.625, 0.251], [0.430, 0.180, 0.859], [0.999, 0.749, 0.998], [0.088, 0.874, 0.749], [0.661, 0.375, 0.749], [0.661, 0.874, 0.749], [0.088, 0.375, 0.749]],
  "vol_a3_per_cell": 338.0,
  "formation_energy_ev_per_fu": -0.83,
  "dos_ef_per_ev_cell": 28.84
}

(3)
{
  "formula": "TlHgRh2",
  "functional": "PBE-GGA",
  "state": "relaxed",
  "lattice_angstrom": [[-1.219, 0.411, -5.228], [0.818, -1.872, -4.982], [-3.470, -3.193, -0.888]],
  "species": ["Tl", "Hg", "Rh", "Rh"],
  "fractional_positions": [[0.515, 0.515, 0.428], [0.735, 0.735, 0.823], [0.985, 0.985, 0.941], [0.265, 0.265, 0.308]],
  "vol_a3_per_cell": 72.4,
  "formation_energy_ev_per_fu": 0.74,
  "dos_ef_per_ev_cell": 4.30
}

(4)
{
  "formula": "TbHg2Au",
  "functional": "PBE-GGA",
  "state": "relaxed",
  "lattice_angstrom": [[-0.802, 0.761, 4.899], [-2.263, -3.820, -2.348], [4.473, -1.679, -1.589]],
  "species": ["Tb", "Hg", "Hg", "Au"],
  "fractional_positions": [[0.125, 0.313, 0.437], [0.125, 0.812, 0.938], [0.626, 0.063, 0.688], [0.624, 0.563, 0.187]],
  "vol_a3_per_cell": 89.9,
  "formation_energy_ev_per_fu": -1.83,
  "dos_ef_per_ev_cell": 1.71
}

(5)
{
  "formula": "Ho4InNi",
  "functional": "PBE-GGA",
  "state": "relaxed",
  "lattice_angstrom": [[0.067, 3.291, -5.929], [-6.748, -2.018, -1.197], [-2.357, 5.653, 3.756]],
  "species": ["Ho", "Ho", "Ho", "Ho", "Ho", "Ho", "Ho", "Ho", "In", "In", "Ni", "Ni"],
  "fractional_positions": [[0.900, 0.640, 0.184], [0.600, 0.140, 0.816], [0.315, 0.329, 0.359], [0.185, 0.829, 0.641], [0.100, 0.360, 0.816], [0.400, 0.860, 0.184], [0.685, 0.671, 0.641], [0.815, 0.171, 0.359], [0.000, 0.000, 0.000], [0.500, 0.500, 0.000], [0.500, 0.000, 0.500], [0.000, 0.500, 0.500]],
  "vol_a3_per_cell": 347.0,
  "formation_energy_ev_per_fu": -0.86,
  "dos_ef_per_ev_cell": 14.91
}

(6)
{
  "formula": "Nd4Dy3Tm3",
  "functional": "PBE-GGA",
  "state": "relaxed",
  "lattice_angstrom": [[-2.456, 2.591, 1.314], [-3.242, -6.180, 6.125], [6.301, 2.824, 6.208]],
  "species": ["Nd", "Nd", "Nd", "Nd", "Dy", "Dy", "Dy", "Tm", "Tm", "Tm"],
  "fractional_positions": [[0.000, 0.631, 0.369], [0.000, 0.369, 0.631], [0.000, 0.868, 0.869], [0.000, 0.131, 0.132], [0.000, 0.501, 0.001], [0.000, 0.999, 0.499], [0.500, 0.168, 0.832], [0.500, 0.832, 0.168], [0.500, 0.332, 0.332], [0.500, 0.668, 0.668]],
  "vol_a3_per_cell": 328.1,
  "formation_energy_ev_per_fu": 1.02,
  "dos_ef_per_ev_cell": 8.13
}

(7)
{
  "formula": "DyZnTe2",
  "functional": "PBE-GGA",
  "state": "relaxed",
  "lattice_angstrom": [[4.409, 0.000, 0.000], [2.205, 3.819, 0.000], [2.205, 1.273, 8.775]],
  "species": ["Zn", "Te", "Te", "Dy"],
  "fractional_positions": [[0.000, 0.000, 0.000], [0.101, 0.101, 0.697], [0.899, 0.899, 0.303], [0.500, 0.500, 0.500]],
  "vol_a3_per_cell": 147.8,
  "dos_ef_per_ev_cell": 2.58,
  "formation_energy_uncorrected_ev_per_atom": -0.67
}

(8)
{
  "formula": "BeTc2Te",
  "functional": "PBE-GGA",
  "state": "relaxed",
  "lattice_angstrom": [[3.120, 0.000, 0.000], [0.000, 3.120, 0.000], [0.000, 0.000, 6.064]],
  "species": ["Be", "Te", "Tc", "Tc"],
  "fractional_positions": [[0.500, 0.500, 0.750], [0.500, 0.500, 0.250], [0.000, 0.000, 0.962], [0.000, 0.000, 0.538]],
  "vol_a3_per_cell": 59.0,
  "dos_ef_per_ev_cell": 3.27,
  "formation_energy_uncorrected_ev_per_atom": 0.27
}

(9)
{
  "formula": "Zr4SiRh",
  "functional": "PBE-GGA",
  "state": "relaxed",
  "lattice_angstrom": [[-2.060, 0.178, 5.153], [1.362, 4.179, 3.392], [-3.787, 3.831, 1.345]],
  "species": ["Zr", "Zr", "Zr", "Zr", "Si", "Rh"],
  "fractional_positions": [[0.875, 0.375, 0.375], [0.375, 0.375, 0.875], [0.375, 0.875, 0.375], [0.375, 0.375, 0.375], [0.000, 0.000, 0.000], [0.750, 0.750, 0.750]],
  "vol_a3_per_cell": 121.0,
  "dos_ef_per_ev_cell": 6.11,
  "formation_energy_uncorrected_ev_per_atom": 0.31
}

(10)
{
  "formula": "Sm2I3O",
  "functional": "PBE-GGA",
  "state": "relaxed",
  "lattice_angstrom": [[4.155, 0.000, 0.000], [-2.078, 9.945, -3.927], [0.000, -0.199, 11.642]],
  "species": ["Sm", "Sm", "Sm", "Sm", "I", "I", "I", "I", "I", "I", "O", "O"],
  "fractional_positions": [[0.074, 0.148, 0.743], [0.926, 0.852, 0.257], [0.429, 0.859, 0.530], [0.571, 0.141, 0.470], [0.927, 0.853, 0.741], [0.073, 0.147, 0.259], [0.361, 0.723, 0.038], [0.639, 0.277, 0.962], [0.188, 0.376, 0.634], [0.812, 0.624, 0.366], [0.544, 0.088, 0.644], [0.456, 0.912, 0.356]],
  "vol_a3_per_cell": 477.8,
  "formation_energy_uncorrected_ev_per_atom": -1.97
}

(11)
{
  "formula": "BaIn2Br",
  "functional": "PBE-GGA",
  "state": "relaxed",
  "lattice_angstrom": [[4.076, 0.000, 0.000], [0.000, 4.188, 0.384], [0.000, 3.412, 9.010]],
  "species": ["Ba", "Br", "In", "In"],
  "fractional_positions": [[0.000, 0.478, 0.520], [0.500, 0.807, 0.690], [0.000, 0.926, 0.077], [0.500, 0.289, 0.213]],
  "vol_a3_per_cell": 148.5,
  "dos_ef_per_ev_cell": 2.31,
  "formation_energy_uncorrected_ev_per_atom": -0.71
}

(12)
{
  "formula": "Ho2ZnCr",
  "functional": "PBE-GGA",
  "state": "relaxed",
  "lattice_angstrom": [[5.019, 0.000, 0.000], [2.510, 4.347, 0.000], [2.510, 1.449, 4.098]],
  "species": ["Cr", "Zn", "Ho", "Ho"],
  "fractional_positions": [[0.000, 0.000, 0.000], [0.500, 0.500, 0.500], [0.250, 0.250, 0.250], [0.750, 0.750, 0.750]],
  "vol_a3_per_cell": 89.4,
  "formation_energy_ev_per_fu": 0.01,
  "dos_ef_per_ev_cell": 1.50
}

(13)
{
  "formula": "PuAlCoSi",
  "functional": "PBE-GGA",
  "state": "relaxed",
  "lattice_angstrom": [[3.950, 0.000, 0.000], [1.975, 3.421, 0.000], [1.975, 1.140, 5.190]],
  "species": ["Pu", "Al", "Co", "Si"],
  "fractional_positions": [[0.811, 0.811, 0.566], [0.015, 0.015, 0.954], [0.298, 0.298, 0.107], [0.601, 0.601, 0.196]],
  "vol_a3_per_cell": 70.1,
  "dos_ef_per_ev_cell": 9.90,
  "formation_energy_uncorrected_ev_per_atom": -0.40
}

(14)
{
  "formula": "Tb2PmErN4",
  "functional": "PBE-GGA",
  "state": "relaxed",
  "lattice_angstrom": [[3.512, 0.000, 0.000], [0.000, 6.081, 0.109], [0.000, -2.125, 5.697]],
  "species": ["Tb", "Tb", "Pm", "Er", "N", "N", "N", "N"],
  "fractional_positions": [[0.500, 0.000, 0.500], [0.000, 0.500, 0.500], [0.500, 0.500, 0.000], [0.000, 0.000, 0.000], [0.500, 0.245, 0.250], [0.500, 0.755, 0.750], [0.000, 0.244, 0.747], [0.000, 0.756, 0.253]],
  "vol_a3_per_cell": 122.5,
  "dos_ef_per_ev_cell": 0.24,
  "formation_energy_uncorrected_ev_per_atom": -1.62
}

(15)
{
  "formula": "KVTe3As",
  "functional": "PBE-GGA",
  "state": "relaxed",
  "lattice_angstrom": [[3.570, 0.000, 0.000], [0.000, 9.097, -0.515], [0.000, -2.840, 10.573]],
  "species": ["K", "K", "V", "V", "Te", "Te", "Te", "Te", "Te", "Te", "As", "As"],
  "fractional_positions": [[0.250, 0.204, 0.304], [0.750, 0.796, 0.696], [0.250, 0.693, 0.167], [0.750, 0.307, 0.833], [0.750, 0.876, 0.087], [0.250, 0.124, 0.913], [0.250, 0.621, 0.400], [0.750, 0.379, 0.600], [0.750, 0.440, 0.107], [0.250, 0.560, 0.893], [0.250, 0.158, 0.673], [0.750, 0.842, 0.327]],
  "vol_a3_per_cell": 338.1,
  "dos_ef_per_ev_cell": 6.14,
  "formation_energy_uncorrected_ev_per_atom": -0.39
}

(16)
{
  "formula": "Ba3As2",
  "functional": "PBE-GGA",
  "state": "relaxed",
  "lattice_angstrom": [[6.179, 0.000, 0.000], [0.000, 6.179, 0.000], [0.000, 0.000, 6.179]],
  "species": ["Ba", "Ba", "Ba", "As", "As"],
  "fractional_positions": [[0.000, 0.500, 0.500], [0.500, 0.000, 0.500], [0.500, 0.500, 0.000], [0.000, 0.000, 0.000], [0.500, 0.500, 0.500]],
  "vol_a3_per_cell": 235.9,
  "formation_energy_ev_per_fu": -3.26,
  "dos_ef_per_ev_cell": 0.09
}

(17)
{
  "formula": "KLiTl2",
  "functional": "PBE-GGA",
  "state": "relaxed",
  "lattice_angstrom": [[6.357, -0.019, 0.008], [2.523, 5.835, -0.008], [-3.717, -4.012, 3.240]],
  "species": ["K", "Li", "Tl", "Tl"],
  "fractional_positions": [[0.250, 0.750, 0.500], [0.750, 0.250, 0.500], [0.961, 0.961, 0.000], [0.539, 0.539, 0.000]],
  "vol_a3_per_cell": 120.2,
  "formation_energy_ev_per_fu": -0.17,
  "dos_ef_per_ev_cell": 2.16
}

(18)
{
  "formula": "RbScCl2F",
  "functional": "PBE-GGA",
  "state": "relaxed",
  "lattice_angstrom": [[5.335, 0.000, 0.000], [0.000, 5.335, 0.000], [0.000, 0.000, 4.210]],
  "species": ["Sc", "F", "Rb", "Cl", "Cl"],
  "fractional_positions": [[0.000, 0.000, 0.000], [0.000, 0.000, 0.500], [0.500, 0.500, 0.500], [0.000, 0.500, 0.000], [0.500, 0.000, 0.000]],
  "vol_a3_per_cell": 119.8,
  "dos_ef_per_ev_cell": 2.17,
  "formation_energy_uncorrected_ev_per_atom": -2.30
}

(19)
{
  "formula": "Ta2AlPb",
  "functional": "PBE-GGA",
  "state": "relaxed",
  "lattice_angstrom": [[-1.352, 4.050, 3.363], [0.405, -1.231, 5.278], [2.983, 0.112, -4.541]],
  "species": ["Pb", "Al", "Ta", "Ta"],
  "fractional_positions": [[0.250, 0.750, 0.500], [0.509, 0.509, 0.000], [0.986, 0.986, 0.000], [0.754, 0.254, 0.500]],
  "vol_a3_per_cell": 77.0,
  "formation_energy_ev_per_fu": 1.28,
  "dos_ef_per_ev_cell": 3.56
}

(20)
{
  "formula": "KNa2PdAu",
  "functional": "PBE-GGA",
  "state": "relaxed",
  "lattice_angstrom": [[5.380, 0.000, 0.000], [0.000, 5.380, 0.000], [0.000, 0.000, 5.308]],
  "species": ["Na", "Na", "K", "Au", "Pd"],
  "fractional_positions": [[0.000, 0.500, 0.000], [0.500, 0.000, 0.000], [0.500, 0.500, 0.500], [0.000, 0.000, 0.500], [0.000, 0.000, 0.000]],
  "vol_a3_per_cell": 153.6,
  "formation_energy_ev_per_fu": -0.40,
  "dos_ef_per_ev_cell": 1.09
}

(21)
{
  "formula": "RbU2MnS4",
  "functional": "PBE-GGA",
  "state": "relaxed",
  "lattice_angstrom": [[3.880, 0.000, 0.000], [-1.940, 6.940, 0.000], [0.000, 0.000, 13.600]],
  "species": ["Rb", "Rb", "U", "U", "U", "U", "Mn", "Mn", "S", "S", "S", "S", "S", "S", "S", "S"],
  "fractional_positions": [[0.099, 0.197, 0.750], [0.901, 0.803, 0.250], [0.366, 0.733, 0.558], [0.634, 0.267, 0.058], [0.634, 0.267, 0.442], [0.366, 0.733, 0.942], [0.825, 0.651, 0.750], [0.175, 0.349, 0.250], [0.263, 0.526, 0.110], [0.737, 0.474, 0.610], [0.737, 0.474, 0.890], [0.263, 0.526, 0.390], [0.000, 0.000, 0.500], [0.000, 0.000, 0.000], [0.417, 0.835, 0.750], [0.583, 0.165, 0.250]],
  "vol_a3_per_cell": 366.2,
  "dos_ef_per_ev_cell": 27.93,
  "formation_energy_uncorrected_ev_per_atom": -1.15
}

(22)
{
  "formula": "TbCeTlPd",
  "functional": "PBE-GGA",
  "state": "relaxed",
  "lattice_angstrom": [[5.258, 0.000, 0.000], [2.629, 4.554, 0.000], [2.629, 1.518, 4.293]],
  "species": ["Tl", "Tb", "Pd", "Ce"],
  "fractional_positions": [[0.750, 0.750, 0.750], [0.500, 0.500, 0.500], [0.250, 0.250, 0.250], [0.000, 0.000, 0.000]],
  "vol_a3_per_cell": 102.8,
  "formation_energy_ev_per_fu": -1.67,
  "dos_ef_per_ev_cell": 8.15
}

(23)
{
  "formula": "KZrVB2",
  "functional": "PBE-GGA",
  "state": "relaxed",
  "lattice_angstrom": [[-3.648, -0.804, -2.166], [-2.241, -0.675, 4.025], [-1.008, 4.196, 0.142]],
  "species": ["K", "B", "B", "Zr", "V"],
  "fractional_positions": [[0.000, 0.000, 0.000], [0.000, 0.000, 0.500], [0.500, 0.000, 0.000], [0.000, 0.500, 0.000], [0.500, 0.500, 0.500]],
  "vol_a3_per_cell": 86.8,
  "formation_energy_ev_per_fu": 15.38,
  "dos_ef_per_ev_cell": 6.75
}

(24)
{
  "formula": "K2SrTlH",
  "functional": "PBE-GGA",
  "state": "relaxed",
  "lattice_angstrom": [[5.510, 0.000, 0.000], [0.000, 5.510, 0.000], [0.000, 0.000, 5.425]],
  "species": ["Sr", "Tl", "K", "K", "H"],
  "fractional_positions": [[0.000, 0.000, 0.500], [0.500, 0.500, 0.500], [0.000, 0.500, 0.000], [0.500, 0.000, 0.000], [0.000, 0.000, 0.000]],
  "vol_a3_per_cell": 164.7,
  "dos_ef_per_ev_cell": 2.61,
  "total_energy_ev_per_atom": -2.035
}

(25)
{
  "formula": "La3Si2Pd2",
  "functional": "PBE-GGA",
  "state": "relaxed",
  "lattice_angstrom": [[5.763, 0.000, 0.000], [0.000, 8.337, 0.000], [0.000, 0.000, 13.531]],
  "species": ["La", "La", "La", "La", "La", "La", "La", "La", "La", "La", "La", "La", "Si", "Si", "Si", "Si", "Si", "Si", "Si", "Si", "Pd", "Pd", "Pd", "Pd", "Pd", "Pd", "Pd", "Pd"],
  "fractional_positions": [[0.133, 0.611, 0.102], [0.867, 0.389, 0.602], [0.867, 0.111, 0.398], [0.133, 0.889, 0.898], [0.867, 0.389, 0.898], [0.133, 0.611, 0.398], [0.133, 0.889, 0.602], [0.867, 0.111, 0.102], [0.348, 0.252, 0.250], [0.652, 0.748, 0.750], [0.652, 0.752, 0.250], [0.348, 0.248, 0.750], [0.341, 0.250, 0.000], [0.659, 0.750, 0.500], [0.659, 0.750, 0.000], [0.341, 0.250, 0.500], [0.841, 0.402, 0.250], [0.159, 0.598, 0.750], [0.159, 0.902, 0.250], [0.841, 0.098, 0.750], [0.615, 0.459, 0.092], [0.385, 0.541, 0.592], [0.385, 0.959, 0.408], [0.615, 0.041, 0.908], [0.385, 0.541, 0.908], [0.615, 0.459, 0.408], [0.615, 0.041, 0.592], [0.385, 0.959, 0.092]],
  "vol_a3_per_cell": 650.1,
  "dos_ef_per_ev_cell": 21.16,
  "formation_energy_uncorrected_ev_per_atom": -0.83
}